# 1
Compound: MnZnPb
Source: Alexandria
Functional: PBE-GGA
Structure: relaxed

VASP energy	-13.20	eV per cell
formation enthalpy at 0 K	0.32	eV/atom
ΔE to the lowest computed polymorph	0.00	eV per formula unit
V	60.0	Å³/cell
total magnetic moment	3.39	μB/f.u.

Lattice parameters (Å, degrees): 6.1709 6.1709 6.1709 149.59 149.59 43.54
Each line ends with the local moment (μB).
Element x y z (fractional)
1 Mn 0.0240 0.0240 0.0000  3.46
2 Pb 0.3407 0.3407 0.0000  -0.05
3 Zn 0.6353 0.6353 0.0000  -0.06

***

# 2
Compound: Mn2ZnPb
Source: Alexandria
Functional: PBE-GGA
Structure: relaxed

VASP energy	-21.59	eV per cell
formation enthalpy at 0 K	0.43	eV/atom
ΔE to the lowest computed polymorph	0.35	eV per formula unit
V	74.9	Å³/cell
total magnetic moment	7.49	μB/f.u.

Lattice parameters (Å, degrees): 9.0435 9.0435 9.0435 19.89 19.89 19.89
Each line ends with the local moment (μB).
Element x y z (fractional)
1 Mn 0.4900 0.4900 0.4900  3.65
2 Mn 0.0100 0.0100 0.0100  3.65
3 Zn 0.7500 0.7500 0.7500  -0.09
4 Pb 0.2500 0.2500 0.2500  -0.01

***

# 3
Compound: MnZnPb2
Source: Alexandria
Functional: PBE-GGA
Structure: relaxed

VASP energy	-16.43	eV per cell
formation enthalpy at 0 K	0.36	eV/atom
V	92.4	Å³/cell
total magnetic moment	4.01	μB/f.u.

Lattice parameters (Å, degrees): 6.0046 6.0046 6.0046 138.96 138.96 59.44
Each line ends with the local moment (μB).
Element x y z (fractional)
1 Pb 0.0000 0.0000 0.0000  -0.02
2 Mn 0.7500 0.2500 0.5000  3.89
3 Pb 0.2500 0.7500 0.5000  -0.04
4 Zn 0.5000 0.5000 0.0000  0.00

***

# 4
Compound: MnZnPb2
Source: Alexandria
Functional: PBE-GGA
Structure: relaxed

VASP energy	-31.97	eV per cell
formation enthalpy at 0 K	0.47	eV/atom
V	205.9	Å³/cell
total magnetic moment	4.26	μB/f.u.

Lattice parameters (Å, degrees): 4.6553 4.6553 10.0546 76.61 76.61 90.00
Each line ends with the local moment (μB).
Element x y z (fractional)
1 Pb 0.6234 0.1250 0.2500  -0.02
2 Zn 0.7500 0.2500 0.5000  0.00
3 Pb 0.3750 0.3766 0.7500  -0.02
4 Pb 0.1266 0.6250 0.2500  -0.02
5 Mn 0.5000 0.5000 0.0000  3.98
6 Zn 0.0000 0.0000 0.0000  0.00
7 Pb 0.8750 0.8734 0.7500  -0.02
8 Mn 0.2500 0.7500 0.5000  4.00